one.
A plane-wave DFT calculation with PBE was carried out for crystalline CrHPd3 at its relaxed geometry.

a b c (Å): 4.8660 4.8660 5.6334
angles (deg): 90.00 90.00 109.60
Fractional coordinates of all 10 atoms:
Cr: 0.2442 0.7558 0.7500
Cr: 0.7558 0.2442 0.2500
H: 0.4834 0.5166 0.2500
H: 0.5166 0.4834 0.7500
Pd: 0.2473 0.2473 0.0000
Pd: 0.2473 0.2473 0.5000
Pd: 0.2466 0.7534 0.2500
Pd: 0.7534 0.2466 0.7500
Pd: 0.7527 0.7527 0.0000
Pd: 0.7527 0.7527 0.5000

Computed properties:
Its space-group type is Cmcm, No. 63.

=====

two.
A plane-wave DFT calculation with PBE was carried out for crystalline CrHPd3 at its relaxed geometry.

a b c (Å): 4.7914 4.9518 5.6337
angles (deg): 70.06 87.56 78.70
Fractional coordinates of all 10 atoms:
Cr: 0.0819 0.3226 0.1377
Cr: 0.9181 0.6774 0.8623
H: 0.4862 0.9803 0.7411
H: 0.5138 0.0197 0.2589
Pd: 0.1133 0.2461 0.6848
Pd: 0.3636 0.7543 0.5651
Pd: 0.3848 0.7496 0.0634
Pd: 0.6152 0.2504 0.9366
Pd: 0.6364 0.2457 0.4349
Pd: 0.8867 0.7539 0.3152

Computed properties:
Its space-group type is P-1, No. 2.

=====

If we sort the structures by their calculated energies, the order from most to least stable is one, two.

=====

one.
A plane-wave DFT calculation with PBE was carried out for crystalline TcHg at its relaxed geometry.

a b c (Å): 2.8870 4.7019 5.1643
angles (deg): 90.00 90.00 90.00
Fractional coordinates of all 4 atoms:
Tc: 0.2500 0.2500 0.0762
Tc: 0.7500 0.7500 0.9238
Hg: 0.2500 0.7500 0.4034
Hg: 0.7500 0.2500 0.5966

Computed properties:
Its space-group type is Pmmn, No. 59.

=====

two.
A plane-wave DFT calculation with PBE was carried out for crystalline TcHg at its relaxed geometry.

a b c (Å): 10.1807 10.1807 10.1807
angles (deg): 16.38 16.38 16.38
Fractional coordinates of all 4 atoms:
Tc: 0.1340 0.1340 0.1340
Tc: 0.8660 0.8660 0.8660
Hg: 0.3831 0.3831 0.3831
Hg: 0.6169 0.6169 0.6169

Computed properties:
Its space-group type is R-3m, No. 166.

=====

If we sort the structures by their calculated energies, the order from most to least stable is two, one.